First-principles (PBE-GGA) data for a relaxed structure of La6TbSm3, as listed in Alexandria via LeMat-Bulk.

SG   R3m (160)
ΔE_f   2.724 eV per formula unit
Volume   37.1 Å³ per atom
E above lowest polymorph   117 meV per atom

The structure in extended XYZ format:
```
10
Lattice="6.471 0.000 0.000 -2.157 8.140 0.000 -2.157 -4.070 7.049" Properties=species:S:1:pos:R:3 pbc="T T T"
La 1.592 -0.959 1.661
La 1.592 1.919 0.000
La 5.018 -1.988 3.444
La 5.018 3.977 0.000
La 0.704 2.082 3.605
La -2.722 3.111 5.388
Tb 5.074 0.000 0.000
Sm 1.753 5.067 0.000
Sm 1.753 -2.533 4.388
Sm 3.910 1.536 2.661
```


First-principles (PBE-GGA) data for a relaxed structure of LaTb2Sm3, as listed in Alexandria via LeMat-Bulk.

SG   Fddd (70)
ΔE_f   0.101 eV per formula unit
Volume   33.7 Å³ per atom
E above lowest polymorph   0 meV per atom

The structure in extended XYZ format:
```
12
Lattice="7.247 0.002 -0.002 -3.622 4.476 -2.498 -0.002 0.832 12.007" Properties=species:S:1:pos:R:3 pbc="T T T"
La -2.716 4.684 0.503
La 6.339 0.626 9.005
Tb -0.907 3.338 3.349
Tb 0.906 3.755 9.352
Tb 2.718 1.556 0.156
Tb 4.530 1.973 6.159
Sm 2.718 0.625 9.004
Sm 0.905 4.685 0.504
Sm 4.530 3.754 9.345
Sm 0.907 1.974 6.167
Sm 2.716 3.337 3.341
Sm -0.907 1.557 0.163
```


First-principles (PBE-GGA) data for a relaxed structure of La6Tb2Sm, as listed in Alexandria via LeMat-Bulk.

SG   P-6m2 (187)
ΔE_f   0.516 eV per formula unit
Volume   35.9 Å³ per atom
E above lowest polymorph   0 meV per atom

The structure in extended XYZ format:
```
9
Lattice="3.673 0.000 0.000 -1.837 3.181 0.000 0.000 0.000 27.690" Properties=species:S:1:pos:R:3 pbc="T T T"
La 1.837 1.060 24.687
La 0.000 2.121 12.023
La 0.000 2.121 21.522
La 0.000 2.121 6.168
La 0.000 2.121 15.667
La 1.837 1.060 3.003
Tb 1.837 1.060 9.140
Tb 1.837 1.060 18.550
Sm 0.000 2.121 0.000
```


First-principles (PBE-GGA) data for a relaxed structure of La15Tb4Sm, as listed in Alexandria via LeMat-Bulk.

SG   P4/mmm (123)
ΔE_f   0.195 eV per formula unit
Volume   35.6 Å³ per atom

The structure in extended XYZ format:
```
20
Lattice="-1.791 3.720 -3.192 -4.582 -2.478 -0.316 -8.711 13.482 20.603" Properties=species:S:1:pos:R:3 pbc="T T T"
La -3.187 0.621 -1.754
La -4.931 3.321 2.372
La -6.671 6.015 6.488
La -8.413 8.710 10.607
La -10.153 11.403 14.723
La -1.771 3.215 0.475
La -3.510 5.907 4.589
La -5.251 8.601 8.706
La -6.992 11.295 12.823
La -8.731 13.987 16.936
La -3.167 0.116 1.913
La -4.906 2.808 6.026
La -6.647 5.502 10.143
La -8.387 8.196 14.260
La -10.127 10.888 18.374
Tb -1.745 2.701 4.127
Tb -3.485 5.393 8.242
Tb -5.226 8.089 12.361
Tb -6.966 10.781 16.476
Sm 0.000 0.000 0.000
```


First-principles (PBE-GGA) data for a relaxed structure of La3TbSm7, as listed in Alexandria via LeMat-Bulk.

SG   Immm (71)
ΔE_f   2.631 eV per formula unit
Volume   35.5 Å³ per atom
E above lowest polymorph   124 meV per atom

The structure in extended XYZ format:
```
11
Lattice="5.967 -0.199 -0.255 -2.677 8.113 1.123 -2.677 -0.877 8.143" Properties=species:S:1:pos:R:3 pbc="T T T"
La -2.677 6.192 2.623
La 2.983 -0.100 -0.128
La -2.677 1.044 6.644
Tb 0.306 3.518 4.506
Sm 0.128 1.463 1.874
Sm 0.184 -0.572 4.784
Sm 0.427 2.256 8.406
Sm 0.184 4.780 0.605
Sm -2.677 3.618 4.633
Sm 0.427 7.609 4.227
Sm 0.484 5.573 7.138
```


First-principles (PBE-GGA) data for a relaxed structure of La6Tb7Sm16, as listed in Alexandria via LeMat-Bulk.

SG   Fm-3m (225)
ΔE_f   6.017 eV per formula unit
Volume   35.8 Å³ per atom

The structure in extended XYZ format:
```
29
Lattice="-10.990 1.999 2.076 -7.799 -2.367 -7.916 -7.168 -8.685 1.506" Properties=species:S:1:pos:R:3 pbc="T T T"
La -10.670 -3.564 -4.729
La -15.287 -5.489 0.395
La -12.092 -1.618 -0.276
La -13.865 -7.434 -4.058
La -15.568 -2.673 -3.803
La -10.389 -6.380 -0.530
Tb 0.000 0.000 0.000
Tb -9.079 -3.343 1.791
Tb -3.899 -1.183 -3.958
Tb -7.484 -5.526 -3.205
Tb -5.495 1.000 1.038
Tb -3.584 -4.343 0.753
Tb -9.394 -0.184 -2.920
Sm -19.132 -3.613 -4.531
Sm -22.678 -7.909 -3.786
Sm -18.820 -6.738 0.129
Sm -17.242 -8.898 -4.813
Sm -3.279 -1.144 -0.547
Sm -6.825 -5.440 0.197
Sm -7.137 -2.314 -4.463
Sm -8.715 -0.155 0.480
Sm -12.564 -0.605 -3.748
Sm -16.941 -5.908 -2.828
Sm -12.179 -4.463 2.005
Sm -10.230 -7.129 -4.096
Sm -9.016 -3.144 -1.505
Sm -13.393 -8.448 -0.586
Sm -13.778 -4.589 -6.339
Sm -15.727 -1.923 -0.237
```


First-principles (PBE-GGA) data for a relaxed structure of LaTb6Sm10, as listed in Alexandria via LeMat-Bulk.

SG   P-31m (162)
ΔE_f   2.231 eV per formula unit
Volume   34.0 Å³ per atom

The structure in extended XYZ format:
```
17
Lattice="-5.180 -2.693 3.678 -5.290 -1.050 -8.220 5.907 -7.261 3.005" Properties=species:S:1:pos:R:3 pbc="T T T"
La -2.590 -1.346 1.839
Tb -3.374 -4.993 0.603
Tb 0.085 -6.411 4.437
Tb -6.911 -2.530 -2.575
Tb -1.188 -6.011 -2.140
Tb 0.642 -3.543 2.245
Tb -3.559 -1.212 -1.967
Sm -3.791 -8.215 -0.764
Sm -2.604 -4.211 3.840
Sm -5.701 -2.493 0.735
Sm -0.771 -2.788 -0.773
Sm 3.331 -5.743 2.843
Sm -4.769 -1.249 -5.277
Sm -0.415 -6.537 1.102
Sm -4.147 -4.467 -2.639
Sm -1.557 -3.120 -4.478
Sm 2.175 -5.191 -0.737
```


First-principles (PBE-GGA) data for a relaxed structure of LaTb3Sm7, as listed in Alexandria via LeMat-Bulk.

SG   Immm (71)
ΔE_f   2.472 eV per formula unit
Volume   34.6 Å³ per atom
E above lowest polymorph   103 meV per atom

The structure in extended XYZ format:
```
11
Lattice="5.916 -0.199 -0.254 -2.653 8.048 1.078 -2.653 -0.906 8.069" Properties=species:S:1:pos:R:3 pbc="T T T"
La 0.305 3.472 4.446
Tb -2.653 6.220 2.505
Tb 2.958 -0.099 -0.127
Tb -2.653 0.922 6.642
Sm 0.126 1.441 1.845
Sm -2.473 7.411 5.811
Sm 3.082 3.103 0.294
Sm -2.473 3.841 8.599
Sm -2.653 3.571 4.573
Sm 3.082 -0.467 3.081
Sm 0.484 5.503 7.047
```


First-principles (PBE-GGA) data for a relaxed structure of La3TbSm3, as listed in Alexandria via LeMat-Bulk.

SG   P6_3/m (176)
ΔE_f   0.233 eV per formula unit
Volume   35.4 Å³ per atom
E above lowest polymorph   0 meV per atom

The structure in extended XYZ format:
```
14
Lattice="5.904 0.000 0.000 0.000 9.840 0.000 0.000 -4.920 8.521" Properties=species:S:1:pos:R:3 pbc="T T T"
La 4.428 -2.766 8.109
La 4.428 3.486 6.862
La 1.476 5.640 6.450
La 4.428 -0.720 2.072
La 1.476 1.434 1.659
La 1.476 7.686 0.412
Tb 1.476 4.920 2.840
Tb 4.428 0.000 5.681
Sm 4.428 2.834 3.285
Sm 4.428 6.347 4.425
Sm 1.476 -0.658 7.709
Sm 4.428 5.578 0.812
Sm 1.476 -1.427 4.097
Sm 1.476 2.086 5.237
```


First-principles (PBE-GGA) data for a relaxed structure of LaTbSm2, as listed in Alexandria via LeMat-Bulk.

SG   P4/mmm (123)
ΔE_f   0.087 eV per formula unit
Volume   34.2 Å³ per atom
E above lowest polymorph   3 meV per atom

The structure in extended XYZ format:
```
4
Lattice="-1.463 -0.327 -4.953 -3.828 -3.156 1.339 -3.105 4.042 0.650" Properties=species:S:1:pos:R:3 pbc="T T T"
Tb -4.198 0.280 -1.482
Sm -1.552 2.021 0.325
Sm -1.914 -1.578 0.669
La -0.732 -0.163 -2.477
```


First-principles (PBE-GGA) data for a relaxed structure of LaTb3Sm5, as listed in Alexandria via LeMat-Bulk.

SG   C2/m (12)
ΔE_f   4.020 eV per formula unit
Volume   37.3 Å³ per atom
E above lowest polymorph   277 meV per atom

The structure in extended XYZ format:
```
18
Lattice="9.140 1.359 0.900 3.809 8.419 0.900 5.281 3.988 10.088" Properties=species:S:1:pos:R:3 pbc="T T T"
La 5.246 3.961 6.747
La 12.984 9.804 5.142
Tb 13.133 9.917 8.424
Tb 10.671 8.058 3.241
Tb 0.000 0.000 0.000
Tb 2.640 1.994 5.044
Tb 5.097 3.849 3.465
Tb 7.559 5.708 8.649
Sm 10.559 4.451 2.879
Sm 5.488 6.196 0.900
Sm 8.582 6.480 1.455
Sm 7.855 5.931 4.927
Sm 10.375 7.834 6.962
Sm 9.648 7.285 10.434
Sm 7.172 8.937 2.879
Sm 7.462 3.582 0.900
Sm 7.671 9.314 9.010
Sm 11.059 4.828 9.010
```


First-principles (PBE-GGA) data for a relaxed structure of La5TbSm3, as listed in Alexandria via LeMat-Bulk.

SG   I4/mcm (140)
ΔE_f   2.436 eV per formula unit
Volume   35.7 Å³ per atom
E above lowest polymorph   36 meV per atom

The structure in extended XYZ format:
```
18
Lattice="9.036 0.000 0.000 0.000 9.036 0.000 -4.518 -4.518 7.866" Properties=species:S:1:pos:R:3 pbc="T T T"
La -2.651 1.867 5.659
La 2.651 -1.867 5.659
La -1.867 -2.651 5.659
La 1.867 2.651 5.659
La 7.169 2.651 2.208
La 1.867 6.385 2.208
La 6.385 7.169 2.208
La 2.651 1.867 2.208
La 4.518 4.518 0.000
La 0.000 0.000 0.000
Tb 4.518 0.000 3.933
Tb 0.000 4.518 3.933
Sm 5.564 1.046 0.000
Sm 3.472 7.990 0.000
Sm 7.990 5.564 0.000
Sm 1.046 3.472 0.000
Sm 0.000 0.000 3.933
Sm 4.518 4.518 3.933
```


Q: Among the records above, which one has the highest volume?
A: LaTb3Sm5


Q: The lowest ΔE_f belongs to which entry?
A: LaTbSm2


Q: Look up the volume of the seventh one.
A: 34.0 Å³ per atom


Q: Which formula does entry 3 have?
A: La6Tb2Sm